1.
# Zr2SbP

A geometry-optimized Zr2SbP structure (GGA-PBE, Alexandria).

## Properties
DOS at the Fermi energy   0.8790 states/eV/atom
Space-group type   I-42d (122)
Density   4.71 g/cm³
Raw formation energy   -0.283 eV per atom
Calculated total energy   -6.94 eV per atom

Cell lengths 6.1987, 6.1987, 7.5565 Å; angles 65.79, 65.79, 90.00 degrees
Fractional coordinates of all 8 atoms:
Zr 0.3750 0.4190 0.7500
Sb 0.0000 0.0000 0.0000
Zr 0.8750 0.8310 0.7500
Zr 0.1690 0.6250 0.2500
P 0.5000 0.5000 0.0000
Zr 0.5810 0.1250 0.2500
P 0.2500 0.7500 0.5000
Sb 0.7500 0.2500 0.5000

2.
# Zr2SbP

A geometry-optimized Zr2SbP structure (GGA-PBE, Alexandria).

## Properties
DOS at the Fermi energy   0.7867 states/eV/atom
Space-group type   R3m (160)
Density   6.25 g/cm³
Raw formation energy   -0.181 eV per atom
Calculated total energy   -6.84 eV per atom

Cell lengths 8.8418, 8.8418, 8.8418 Å; angles 22.53, 22.53, 22.53 degrees
Fractional coordinates of all 4 atoms:
P 0.4940 0.4940 0.4940
Zr 0.7625 0.7625 0.7625
Sb 0.2428 0.2428 0.2428
Zr 0.0006 0.0006 0.0006